Record 1
Er7Zn2Ir2 | GGA-PBE | optimized geometry

Magnetization = 0.00 μB/f.u.
DFT formation energy = -0.39 eV per atom
Electronic total energy = -112.93 eV/cell

Unit cell a=7.8873 b=10.6205 c=6.9754 alpha=90.00 beta=90.00 gamma=90.00
Space group Cmmm (No. 65)
One atom of each set of equivalent atoms:
Er: 0.0000 0.0000 0.0000 x2
Er: 0.0000 0.5000 0.2522 x4
Er: 0.2500 0.2500 0.2582 x8
Zn: 0.1706 0.0000 0.5000 x4
Ir: 0.0000 0.2883 0.0000 x4

---

Record 2
KCaY2 | GGA-PBE | optimized geometry

E above lowest polymorph = 273 meV per atom
Magnetization = 1.23 μB/f.u.
DFT formation energy = 0.46 eV per atom
Electronic total energy = -28.41 eV/cell

Unit cell a=7.2860 b=12.0493 c=3.5843 alpha=90.00 beta=90.00 gamma=90.00
Space group Cmmm (No. 65)
One atom of each set of equivalent atoms:
K: 0.0000 0.0000 0.0000 x2
Ca: 0.0000 0.5000 0.0000 x2
Y: 0.2500 0.2500 0.5000 x4

---

Record 3
HoTm2Hf | GGA-PBE | optimized geometry

E above lowest polymorph = 150 meV per atom
Magnetization = 0.00 μB/f.u.
DFT formation energy = 0.22 eV per atom
Electronic total energy = -22.61 eV/cell

Unit cell a=3.9378 b=3.9378 c=7.2539 alpha=90.00 beta=90.00 gamma=90.00
Space group P4/mmm (No. 123)
One atom of each set of equivalent atoms:
Ho: 0.0000 0.0000 0.0000 x1
Tm: 0.5000 0.5000 0.2770 x2
Hf: 0.0000 0.0000 0.5000 x1

---

Record 4
ZnSiAu2 | GGA-PBE | optimized geometry

E_form (uncorrected) = 8.0 kJ per mole of atoms
Magnetization = 0.00 μB/f.u.
Electronic total energy = -38.76 eV/cell

Unit cell a=3.0528 b=3.0528 c=25.1484 alpha=90.00 beta=90.00 gamma=120.00
Space group R3m (No. 160, hexagonal axes)
One atom of each set of equivalent atoms:
Zn: 0.0000 0.0000 0.0000 x3
Si: 0.0000 0.0000 0.7489 x3
Au: 0.0000 0.0000 0.2526 x3
Au: 0.0000 0.0000 0.4909 x3

---

Record 5
La2YEr2Cd5 | GGA-PBE | optimized geometry

Magnetization = 0.00 μB/f.u.
DFT formation energy = -0.22 eV per atom
Electronic total energy = -64.41 eV/cell

Unit cell a=10.7275 b=10.7275 c=4.7678 alpha=90.00 beta=90.00 gamma=90.00
Space group P4/mbm (No. 127)
One atom of each set of equivalent atoms:
La: 0.1754 0.3246 0.0000 x4
Y: 0.0000 0.0000 0.0000 x2
Er: 0.1227 0.6227 0.0000 x4
Cd: 0.0000 0.5000 0.5000 x2
Cd: 0.0674 0.8041 0.5000 x8

---

Record 6
PrTm2In | GGA-PBE | optimized geometry

E above lowest polymorph = 16 meV per atom
Magnetization = 0.00 μB/f.u.
DFT formation energy = -0.24 eV per atom
Electronic total energy = -17.41 eV/cell

Unit cell a=3.6018 b=3.6018 c=9.1310 alpha=90.00 beta=90.00 gamma=90.00
Space group P4/mmm (No. 123)
One atom of each set of equivalent atoms:
Pr: 0.0000 0.0000 0.0000 x1
Tm: 0.5000 0.5000 0.2793 x2
In: 0.0000 0.0000 0.5000 x1

---

Record 7
CaSiAuBr2 | GGA-PBE | optimized geometry

E_form (uncorrected) = -42.3 kJ per mole of atoms
Magnetization = 0.00 μB/f.u.
Electronic total energy = -16.24 eV/cell

Unit cell a=5.4158 b=5.4158 c=4.8085 alpha=90.00 beta=90.00 gamma=90.00
Space group P4/mmm (No. 123)
One atom of each set of equivalent atoms:
Ca: 0.0000 0.0000 0.0000 x1
Si: 0.5000 0.5000 0.5000 x1
Au: 0.5000 0.5000 0.0000 x1
Br: 0.0000 0.5000 0.5000 x2

---

Record 8
AcAgH8Ir2 | GGA-PBE | optimized geometry

Magnetization = 0.00 μB/f.u.
Electronic total energy = -158.85 eV/cell

Unit cell a=4.9898 b=4.9898 c=17.2077 alpha=90.00 beta=90.00 gamma=120.00
Space group R-3 (No. 148, hexagonal axes)
One atom of each set of equivalent atoms:
Ac: 0.0000 0.0000 0.0000 x3
Ag: 0.0000 0.0000 0.5000 x3
H: 0.0000 0.0000 0.3041 x6
H: 0.0338 0.2908 0.8784 x18
Ir: 0.0000 0.0000 0.2063 x6

---

Record 9
InFePtI2 | GGA-PBE | optimized geometry

E_form (uncorrected) = 38.0 kJ per mole of atoms
Magnetization = 3.56 μB/f.u.
Electronic total energy = -18.37 eV/cell

Unit cell a=5.6049 b=5.6049 c=4.9224 alpha=90.00 beta=90.00 gamma=90.00
Space group P4/mmm (No. 123)
One atom of each set of equivalent atoms:
In: 0.0000 0.0000 0.0000 x1
Fe: 0.5000 0.5000 0.0000 x1
Pt: 0.5000 0.5000 0.5000 x1
I: 0.0000 0.5000 0.5000 x2

---

Record 10
Li5Bi4Sb | GGA-PBE | optimized geometry

E_form (uncorrected) = -37.5 kJ per mole of atoms
Magnetization = 0.00 μB/f.u.
Electronic total energy = -33.10 eV/cell

Unit cell a=3.3953 b=3.3953 c=20.2695 alpha=90.00 beta=90.00 gamma=90.00
Space group P4/mmm (No. 123)
One atom of each set of equivalent atoms:
Li: 0.0000 0.0000 0.0000 x1
Li: 0.0000 0.0000 0.2019 x2
Li: 0.0000 0.0000 0.4070 x2
Bi: 0.5000 0.5000 0.1010 x2
Bi: 0.5000 0.5000 0.3025 x2
Sb: 0.5000 0.5000 0.5000 x1

---

Record 11
Ca6Cr2HN6 | GGA-PBE | optimized geometry

Magnetization = 0.01 μB/f.u.
Electronic total energy = -296.48 eV/cell

Unit cell a=8.9970 b=8.9970 c=9.2129 alpha=90.00 beta=90.00 gamma=120.00
Space group R-3 (No. 148, hexagonal axes)
One atom of each set of equivalent atoms:
Ca: 0.0540 0.7858 0.1583 x18
Cr: 0.0000 0.0000 0.3783 x6
H: 0.0000 0.0000 0.0000 x3
N: 0.0441 0.8343 0.6814 x18

---

Record 12
MgSn4Mo | GGA-PBE | optimized geometry

Magnetization = 0.00 μB/f.u.
DFT formation energy = -0.03 eV per atom
Electronic total energy = -114.50 eV/cell

Unit cell a=7.0277 b=7.0277 c=11.2827 alpha=90.00 beta=90.00 gamma=90.00
Space group I4/mcm (No. 140)
One atom of each set of equivalent atoms:
Mg: 0.0000 0.0000 0.0000 x4
Sn: 0.1549 0.3451 0.1442 x16
Mo: 0.0000 0.0000 0.2500 x4

---

Record 13
Ca2FeAs | GGA-PBE | optimized geometry

Magnetization = 2.50 μB/f.u.
DFT formation energy = -0.07 eV per atom
Electronic total energy = -34.79 eV/cell

Unit cell a=4.2622 b=4.2622 c=10.0792 alpha=90.00 beta=90.00 gamma=90.00
Space group I-4m2 (No. 119)
One atom of each set of equivalent atoms:
Ca: 0.0000 0.0000 0.0000 x2
Ca: 0.0000 0.5000 0.2500 x2
Fe: 0.0000 0.5000 0.7500 x2
As: 0.0000 0.0000 0.5000 x2

---

Record 14
LaNd2CdC | GGA-PBE | optimized geometry

Magnetization = 0.00 μB/f.u.
DFT formation energy = -0.15 eV per atom
Electronic total energy = -25.37 eV/cell

Unit cell a=5.1495 b=5.1495 c=5.2103 alpha=90.00 beta=90.00 gamma=90.00
Space group P4/mmm (No. 123)
One atom of each set of equivalent atoms:
La: 0.0000 0.0000 0.0000 x1
Nd: 0.0000 0.5000 0.5000 x2
Cd: 0.5000 0.5000 0.0000 x1
C: 0.0000 0.0000 0.5000 x1

---

Record 15
LaAsH2Rh2 | GGA-PBE | optimized geometry

Magnetization = 0.00 μB/f.u.
Electronic total energy = -68.49 eV/cell

Unit cell a=5.4468 b=5.5915 c=6.3920 alpha=90.00 beta=101.48 gamma=90.00
Space group P2_1/m (No. 11)
One atom of each set of equivalent atoms:
La: 0.2083 0.2500 0.3144 x2
As: 0.2877 0.7500 0.0906 x2
H: 0.1459 0.2500 0.6850 x2
H: 0.2628 0.7500 0.6105 x2
Rh: 0.3340 0.0024 0.7882 x4

---

Record 16
CdFeSb4 | GGA-PBE | optimized geometry

E_form (uncorrected) = 67.6 kJ per mole of atoms
Magnetization = 3.76 μB/f.u.
Electronic total energy = -86.66 eV/cell

Unit cell a=8.7394 b=8.7394 c=8.7394 alpha=90.00 beta=90.00 gamma=90.00
Space group F-43m (No. 216)
One atom of each set of equivalent atoms:
Cd: 0.0000 0.0000 0.0000 x4
Fe: 0.2500 0.2500 0.7500 x4
Sb: 0.1251 0.1251 0.3749 x16

---

Record 17
Ac5Pr12Sm2 | GGA-PBE | optimized geometry

Magnetization = 0.00 μB/f.u.
DFT formation energy = 0.13 eV per atom
Electronic total energy = -169.55 eV/cell

Unit cell a=23.3107 b=7.4449 c=9.1072 alpha=90.00 beta=110.66 gamma=90.00
Space group C2/m (No. 12)
One atom of each set of equivalent atoms:
Ac: 0.0000 0.0000 0.0000 x2
Ac: 0.1519 0.5000 0.5895 x4
Ac: 0.2455 0.0000 0.9858 x4
Pr: 0.0468 0.5000 0.1923 x4
Pr: 0.1054 0.2613 0.8771 x8
Pr: 0.1407 0.0000 0.5522 x4
Pr: 0.1989 0.2530 0.2896 x8
Sm: 0.0000 0.2576 0.5000 x4

---

Record 18
LaRuSe2 | GGA-PBE | optimized geometry

E above lowest polymorph = 245 meV per atom
E_form (uncorrected) = -65.9 kJ per mole of atoms
Magnetization = 0.00 μB/f.u.
Electronic total energy = -23.90 eV/cell

Unit cell a=4.7902 b=4.7902 c=3.5880 alpha=90.00 beta=90.00 gamma=90.00
Space group P4/mmm (No. 123)
One atom of each set of equivalent atoms:
La: 0.0000 0.0000 0.0000 x1
Ru: 0.5000 0.5000 0.0000 x1
Se: 0.0000 0.5000 0.5000 x2

---

Record 19
RbNiHg2Au | GGA-PBE | optimized geometry

Magnetization = 0.00 μB/f.u.
DFT formation energy = -0.07 eV per atom
Electronic total energy = -11.00 eV/cell

Unit cell a=5.1511 b=5.1511 c=5.1406 alpha=90.00 beta=90.00 gamma=90.00
Space group P4/mmm (No. 123)
One atom of each set of equivalent atoms:
Rb: 0.0000 0.0000 0.0000 x1
Ni: 0.5000 0.5000 0.5000 x1
Hg: 0.0000 0.5000 0.5000 x2
Au: 0.5000 0.5000 0.0000 x1

---

Record 20
Zr7PS12 | GGA-PBE | optimized geometry

E_form (uncorrected) = -138.6 kJ per mole of atoms
Magnetization = 0.00 μB/f.u.
Electronic total energy = -430.52 eV/cell

Unit cell a=13.3492 b=13.3492 c=9.0073 alpha=90.00 beta=90.00 gamma=120.00
Space group R-3 (No. 148, hexagonal axes)
One atom of each set of equivalent atoms:
Zr: 0.0000 0.0000 0.0000 x3
Zr: 0.0514 0.1851 0.3279 x18
P: 0.0000 0.0000 0.5000 x3
S: 0.0270 0.5868 0.1632 x18
S: 0.0483 0.1735 0.8302 x18

---

Record 21
CsHfS3 | GGA-PBE | optimized geometry

E above lowest polymorph = 266 meV per atom
E_form (uncorrected) = -109.1 kJ per mole of atoms
Magnetization = 0.00 μB/f.u.
Electronic total energy = -461.50 eV/cell

Unit cell a=13.4883 b=13.4883 c=13.4883 alpha=90.00 beta=90.00 gamma=90.00
Space group Fd-3m (No. 227, origin choice 2)
One atom of each set of equivalent atoms:
Cs: 0.0000 0.0000 0.0000 x16
Hf: 0.0000 0.0000 0.5000 x16
S: 0.0629 0.3750 0.8750 x48

---

Record 22
Ca2YCd | GGA-PBE | optimized geometry

Magnetization = 0.39 μB/f.u.
DFT formation energy = -0.14 eV per atom
Electronic total energy = -11.93 eV/cell

Unit cell a=3.7503 b=3.7736 c=9.4711 alpha=90.00 beta=90.00 gamma=90.00
Space group Pmm2 (No. 25)
One atom of each set of equivalent atoms:
Ca: 0.0000 0.0000 0.0000 x1
Ca: 0.5000 0.5000 0.3138 x1
Y: 0.5000 0.5000 0.7136 x1
Cd: 0.0000 0.0000 0.5229 x1

---

Record 23
CeDy6Y2 | GGA-PBE | optimized geometry

E above lowest polymorph = 0 meV per atom
Magnetization = 1.19 μB/f.u.
DFT formation energy = 0.04 eV per atom
Electronic total energy = -92.26 eV/cell

Unit cell a=6.2480 b=5.6689 c=16.5555 alpha=90.00 beta=100.87 gamma=90.00
Space group P2_1/m (No. 11)
One atom of each set of equivalent atoms:
Ce: 0.0663 0.2500 0.2791 x2
Dy: 0.0522 0.7500 0.9427 x2
Dy: 0.1669 0.2500 0.4970 x2
Dy: 0.2799 0.7500 0.3882 x2
Dy: 0.3874 0.7500 0.6115 x2
Dy: 0.3888 0.2500 0.9459 x2
Dy: 0.4943 0.7500 0.8326 x2
Y: 0.1705 0.7500 0.1668 x2
Y: 0.2645 0.2500 0.7212 x2

---

We obtain DOS(E_F) values of 0.9132, 1.6906, 2.0224, 0.2174, 0.7098, 0.7804, 0.4398, 0.0813, 0.9061, 0.3217, 0.5221, 0.7402, 0.9007, 1.0517, 0.5211, 1.2571, 1.5884, 0.5832, 0.2552, 0.2373, 0.5384, 1.2296, 1.9685 states/eV per atom for the records listed above, in that order.